(1)
Entry from the Alexandria database: a relaxed ZrScRuW2 crystal (PBE-GGA).

Results
- total DFT energy (no corrections) (eV per formula unit) = -41.870
- ΔE_f (eV/atom) = 1.638
- symmetry = P4/mmm, No. 123

Cell lengths 4.653, 4.653, 4.583 Å; angles 90.00, 90.00, 90.00 degrees
Element x y z (fractional)
Zr (0.000, 0.000, 0.000)
Sc (0.500, 0.500, 0.500)
Ru (0.500, 0.500, 0.000)
W (0.000, 0.500, 0.500)
W (0.500, 0.000, 0.500)



(2)
Entry from the Alexandria database: a relaxed ZrScRu2W crystal (PBE-GGA).

Results
- total DFT energy (no corrections) (eV per formula unit) = -38.563
- ΔE_f (eV/atom) = 1.564
- symmetry = P4/mmm, No. 123

Cell lengths 4.496, 4.496, 4.753 Å; angles 90.00, 90.00, 90.00 degrees
Element x y z (fractional)
Zr (0.000, 0.000, 0.000)
Sc (0.000, 0.000, 0.500)
Ru (0.000, 0.500, 0.500)
Ru (0.500, 0.000, 0.500)
W (0.500, 0.500, 0.000)



(3)
Entry from the Alexandria database: a relaxed YScRu crystal (PBE-GGA).

Results
- total DFT energy (no corrections) (eV per formula unit) = -20.111
- ΔE_f (eV/atom) = 0.654
- symmetry = F-43m, No. 216
- ΔE to the lowest computed polymorph (eV/f.u.) = 3.22

Cell lengths 4.623, 4.623, 4.623 Å; angles 60.00, 60.00, 60.00 degrees
Element x y z (fractional)
Y (0.000, 0.000, 0.000)
Sc (0.750, 0.750, 0.750)
Ru (0.250, 0.250, 0.250)



(4)
Entry from the Alexandria database: a relaxed YSc2Ru crystal (PBE-GGA).

Results
- total DFT energy (no corrections) (eV per formula unit) = -29.650
- ΔE_f (eV/atom) = -0.312
- symmetry = Immm, No. 71
- ΔE to the lowest computed polymorph (eV/f.u.) = 0.11

Cell lengths 5.998, 5.998, 5.998 Å; angles 146.98, 129.76, 61.44 degrees
Element x y z (fractional)
Y (0.000, 0.000, 0.000)
Sc (0.299, 0.799, 0.500)
Sc (0.701, 0.201, 0.500)
Ru (0.500, 0.500, 0.000)



(5)
Entry from the Alexandria database: a relaxed YSc2Ru9 crystal (PBE-GGA).

Results
- total DFT energy (no corrections) (eV per formula unit) = -104.433
- ΔE_f (eV/atom) = -0.152
- symmetry = R-3m, No. 166

Cell lengths 9.067, 9.067, 9.067 Å; angles 33.38, 33.38, 33.38 degrees
Element x y z (fractional)
Y (0.000, 0.000, 0.000)
Sc (0.140, 0.140, 0.140)
Sc (0.860, 0.860, 0.860)
Ru (0.073, 0.591, 0.591)
Ru (0.338, 0.338, 0.338)
Ru (0.409, 0.409, 0.927)
Ru (0.409, 0.927, 0.409)
Ru (0.500, 0.500, 0.500)
Ru (0.591, 0.073, 0.591)
Ru (0.591, 0.591, 0.073)
Ru (0.662, 0.662, 0.662)
Ru (0.927, 0.409, 0.409)



(6)
Entry from the Alexandria database: a relaxed YScRu2 crystal (PBE-GGA).

Results
- total DFT energy (no corrections) (eV per formula unit) = -31.205
- ΔE_f (eV/atom) = 0.036
- symmetry = F-43m, No. 216

Cell lengths 4.670, 4.670, 4.670 Å; angles 60.00, 60.00, 60.00 degrees
Element x y z (fractional)
Y (0.000, 0.000, 0.000)
Sc (0.750, 0.750, 0.750)
Ru (0.250, 0.250, 0.250)
Ru (0.500, 0.500, 0.500)



(7)
Entry from the Alexandria database: a relaxed YScRu2 crystal (PBE-GGA).

Results
- total DFT energy (no corrections) (eV per formula unit) = -30.692
- ΔE_f (eV/atom) = 0.164
- symmetry = I-42d, No. 122

Cell lengths 5.912, 5.912, 5.912 Å; angles 104.71, 104.71, 119.48 degrees
Element x y z (fractional)
Y (0.000, 0.000, 0.000)
Y (0.750, 0.250, 0.500)
Sc (0.250, 0.750, 0.500)
Sc (0.500, 0.500, 0.000)
Ru (0.145, 0.625, 0.020)
Ru (0.375, 0.395, 0.520)
Ru (0.605, 0.125, 0.980)
Ru (0.875, 0.855, 0.480)



(8)
Entry from the Alexandria database: a relaxed YScRu crystal (PBE-GGA).

Results
- total DFT energy (no corrections) (eV per formula unit) = -23.213
- ΔE_f (eV/atom) = -0.380
- symmetry = I4mm, No. 107
- ΔE to the lowest computed polymorph (eV/f.u.) = 0.12

Cell lengths 6.548, 6.548, 6.548 Å; angles 150.59, 150.59, 42.08 degrees
Element x y z (fractional)
Y (0.000, 0.000, 0.000)
Sc (0.260, 0.260, 0.000)
Ru (0.644, 0.644, 0.000)



(9)
Entry from the Alexandria database: a relaxed YScRu3 crystal (PBE-GGA).

Results
- total DFT energy (no corrections) (eV per formula unit) = -36.997
- ΔE_f (eV/atom) = 0.725
- symmetry = Pm-3m, No. 221
- ΔE to the lowest computed polymorph (eV/f.u.) = 0.00

Cell lengths 4.663, 4.663, 4.663 Å; angles 90.00, 90.00, 90.00 degrees
Element x y z (fractional)
Y (0.000, 0.000, 0.000)
Sc (0.500, 0.500, 0.500)
Ru (0.000, 0.500, 0.500)
Ru (0.500, 0.000, 0.500)
Ru (0.500, 0.500, 0.000)



(10)
Entry from the Alexandria database: a relaxed Y3Sc2Ru2 crystal (PBE-GGA).

Results
- total DFT energy (no corrections) (eV per formula unit) = -52.803
- ΔE_f (eV/atom) = -0.314
- symmetry = C2/m, No. 12

Cell lengths 6.189, 6.189, 8.240 Å; angles 111.61, 111.61, 35.30 degrees
Element x y z (fractional)
Y (0.000, 0.000, 0.000)
Y (0.119, 0.119, 0.435)
Y (0.881, 0.881, 0.565)
Sc (0.327, 0.327, 0.174)
Sc (0.673, 0.673, 0.826)
Ru (0.312, 0.312, 0.785)
Ru (0.688, 0.688, 0.215)



(11)
Entry from the Alexandria database: a relaxed YScRu2 crystal (PBE-GGA).

Results
- total DFT energy (no corrections) (eV per formula unit) = -31.381
- ΔE_f (eV/atom) = -0.008
- symmetry = Pmm2, No. 25

Cell lengths 3.127, 4.319, 5.620 Å; angles 90.00, 90.00, 90.00 degrees
Element x y z (fractional)
Y (0.000, 0.000, 0.000)
Sc (0.500, 0.500, 0.646)
Ru (0.000, 0.000, 0.483)
Ru (0.500, 0.500, 0.202)



(12)
Entry from the Alexandria database: a relaxed Y5ScRu6 crystal (PBE-GGA).

Results
- total DFT energy (no corrections) (eV per formula unit) = -97.928
- ΔE_f (eV/atom) = -0.302
- symmetry = C2/m, No. 12

Cell lengths 8.258, 8.258, 4.794 Å; angles 106.81, 106.81, 119.92 degrees
Element x y z (fractional)
Y (0.000, 0.000, 0.000)
Y (0.167, 0.833, 0.500)
Y (0.336, 0.664, 0.000)
Y (0.664, 0.336, 0.000)
Y (0.833, 0.167, 0.500)
Sc (0.500, 0.500, 0.500)
Ru (0.091, 0.417, 0.254)
Ru (0.258, 0.258, 0.758)
Ru (0.417, 0.091, 0.254)
Ru (0.583, 0.909, 0.746)
Ru (0.742, 0.742, 0.242)
Ru (0.909, 0.583, 0.746)



(13)
Entry from the Alexandria database: a relaxed YSc2Ru crystal (PBE-GGA).

Results
- total DFT energy (no corrections) (eV per formula unit) = -28.512
- ΔE_f (eV/atom) = -0.027
- symmetry = I-42d, No. 122
- ΔE to the lowest computed polymorph (eV/f.u.) = 1.25

Cell lengths 6.443, 6.443, 6.443 Å; angles 102.22, 102.22, 125.21 degrees
Element x y z (fractional)
Y (0.000, 0.000, 0.000)
Y (0.750, 0.250, 0.500)
Sc (0.205, 0.625, 0.080)
Sc (0.375, 0.455, 0.580)
Sc (0.545, 0.125, 0.920)
Sc (0.875, 0.795, 0.420)
Ru (0.250, 0.750, 0.500)
Ru (0.500, 0.500, 0.000)



(14)
Entry from the Alexandria database: a relaxed YSc2Ru crystal (PBE-GGA).

Results
- total DFT energy (no corrections) (eV per formula unit) = -28.759
- ΔE_f (eV/atom) = -0.089
- symmetry = R-3m, No. 166
- ΔE to the lowest computed polymorph (eV/f.u.) = 1.00

Cell lengths 9.835, 9.835, 9.835 Å; angles 19.36, 19.36, 19.36 degrees
Element x y z (fractional)
Y (0.000, 0.000, 0.000)
Sc (0.231, 0.231, 0.231)
Sc (0.769, 0.769, 0.769)
Ru (0.500, 0.500, 0.500)



(15)
Entry from the Alexandria database: a relaxed YSc2Ru crystal (PBE-GGA).

Results
- total DFT energy (no corrections) (eV per formula unit) = -28.525
- ΔE_f (eV/atom) = -0.031
- symmetry = Fm-3m, No. 225
- ΔE to the lowest computed polymorph (eV/f.u.) = 1.24

Cell lengths 4.906, 4.906, 4.906 Å; angles 60.00, 60.00, 60.00 degrees
Element x y z (fractional)
Y (0.000, 0.000, 0.000)
Sc (0.250, 0.250, 0.250)
Sc (0.750, 0.750, 0.750)
Ru (0.500, 0.500, 0.500)



(16)
Entry from the Alexandria database: a relaxed YScRu2 crystal (PBE-GGA).

Results
- total DFT energy (no corrections) (eV per formula unit) = -29.934
- ΔE_f (eV/atom) = 0.353
- symmetry = R3m, No. 160

Cell lengths 9.672, 9.672, 9.672 Å; angles 18.37, 18.37, 18.37 degrees
Element x y z (fractional)
Y (0.000, 0.000, 0.000)
Sc (0.775, 0.775, 0.775)
Ru (0.250, 0.250, 0.250)
Ru (0.514, 0.514, 0.514)



(17)
Entry from the Alexandria database: a relaxed Y2ScRu3 crystal (PBE-GGA).

Results
- total DFT energy (no corrections) (eV per formula unit) = -49.122
- ΔE_f (eV/atom) = -0.339
- symmetry = Cmmm, No. 65

Cell lengths 7.470, 7.470, 6.726 Å; angles 90.00, 90.00, 143.17 degrees
Element x y z (fractional)
Y (0.000, 0.000, 0.000)
Y (0.000, 0.000, 0.500)
Y (0.333, 0.667, 0.000)
Y (0.667, 0.333, 0.000)
Sc (0.331, 0.669, 0.500)
Sc (0.669, 0.331, 0.500)
Ru (0.170, 0.830, 0.263)
Ru (0.170, 0.830, 0.737)
Ru (0.500, 0.500, 0.258)
Ru (0.500, 0.500, 0.742)
Ru (0.830, 0.170, 0.263)
Ru (0.830, 0.170, 0.737)



(18)
Entry from the Alexandria database: a relaxed YSc3Ru crystal (PBE-GGA).

Results
- total DFT energy (no corrections) (eV per formula unit) = -35.413
- ΔE_f (eV/atom) = -0.136
- symmetry = Pm-3m, No. 221
- ΔE to the lowest computed polymorph (eV/f.u.) = 0.00

Cell lengths 5.050, 5.050, 5.050 Å; angles 90.00, 90.00, 90.00 degrees
Element x y z (fractional)
Y (0.000, 0.000, 0.000)
Sc (0.000, 0.500, 0.500)
Sc (0.500, 0.000, 0.500)
Sc (0.500, 0.500, 0.000)
Ru (0.500, 0.500, 0.500)



(19)
Entry from the Alexandria database: a relaxed YSc2Ru3 crystal (PBE-GGA).

Results
- total DFT energy (no corrections) (eV per formula unit) = -49.553
- ΔE_f (eV/atom) = -0.433
- symmetry = P4/mmm, No. 123
- ΔE to the lowest computed polymorph (eV/f.u.) = 0.00

Cell lengths 3.285, 3.285, 9.794 Å; angles 90.00, 90.00, 90.00 degrees
Element x y z (fractional)
Y (0.000, 0.000, 0.000)
Sc (0.000, 0.000, 0.339)
Sc (0.000, 0.000, 0.661)
Ru (0.500, 0.500, 0.181)
Ru (0.500, 0.500, 0.500)
Ru (0.500, 0.500, 0.819)



(20)
Entry from the Alexandria database: a relaxed YSc2Ru crystal (PBE-GGA).

Results
- total DFT energy (no corrections) (eV per formula unit) = -29.305
- ΔE_f (eV/atom) = -0.226
- symmetry = P4mm, No. 99
- ΔE to the lowest computed polymorph (eV/f.u.) = 0.46

Cell lengths 3.344, 3.344, 8.131 Å; angles 90.00, 90.00, 90.00 degrees
Element x y z (fractional)
Y (0.000, 0.000, 0.000)
Sc (0.000, 0.000, 0.393)
Sc (0.500, 0.500, 0.675)
Ru (0.500, 0.500, 0.217)



(21)
Entry from the Alexandria database: a relaxed YScRu2 crystal (PBE-GGA).

Results
- total DFT energy (no corrections) (eV per formula unit) = -32.792
- ΔE_f (eV/atom) = -0.361
- symmetry = P4/mmm, No. 123

Cell lengths 4.678, 4.678, 3.329 Å; angles 90.00, 90.00, 90.00 degrees
Element x y z (fractional)
Y (0.000, 0.000, 0.000)
Sc (0.500, 0.500, 0.000)
Ru (0.000, 0.500, 0.500)
Ru (0.500, 0.000, 0.500)



(22)
Entry from the Alexandria database: a relaxed Y2ScRu2 crystal (PBE-GGA).

Results
- total DFT energy (no corrections) (eV per formula unit) = -39.745
- ΔE_f (eV/atom) = -0.387
- symmetry = C2/m, No. 12
- ΔE to the lowest computed polymorph (eV/f.u.) = 0.00

Cell lengths 5.684, 5.684, 4.161 Å; angles 111.38, 111.38, 63.29 degrees
Element x y z (fractional)
Y (0.201, 0.201, 0.201)
Y (0.799, 0.799, 0.799)
Sc (0.500, 0.500, 0.000)
Ru (0.225, 0.775, 0.500)
Ru (0.775, 0.225, 0.500)



(23)
Entry from the Alexandria database: a relaxed Y3ScRu crystal (PBE-GGA).

Results
- total DFT energy (no corrections) (eV per formula unit) = -34.833
- ΔE_f (eV/atom) = 0.033
- symmetry = Pm-3m, No. 221
- ΔE to the lowest computed polymorph (eV/f.u.) = 0.00

Cell lengths 5.356, 5.356, 5.356 Å; angles 90.00, 90.00, 90.00 degrees
Element x y z (fractional)
Y (0.000, 0.000, 0.500)
Y (0.000, 0.500, 0.000)
Y (0.500, 0.000, 0.000)
Sc (0.500, 0.500, 0.500)
Ru (0.000, 0.000, 0.000)



(24)
Entry from the Alexandria database: a relaxed YSc2Ru crystal (PBE-GGA).

Results
- total DFT energy (no corrections) (eV per formula unit) = -28.081
- ΔE_f (eV/atom) = 0.081
- symmetry = C2/m, No. 12
- ΔE to the lowest computed polymorph (eV/f.u.) = 1.68

Cell lengths 5.829, 5.829, 3.213 Å; angles 103.46, 103.46, 118.66 degrees
Element x y z (fractional)
Y (0.000, 0.000, 0.000)
Sc (0.000, 0.500, 0.500)
Sc (0.500, 0.000, 0.500)
Ru (0.500, 0.500, 0.000)



(25)
Entry from the Alexandria database: a relaxed Y4ScRu5 crystal (PBE-GGA).

Results
- total DFT energy (no corrections) (eV per formula unit) = -81.686
- ΔE_f (eV/atom) = -0.312
- symmetry = P4/mmm, No. 123

Cell lengths 3.374, 3.374, 16.872 Å; angles 90.00, 90.00, 90.00 degrees
Element x y z (fractional)
Y (0.000, 0.000, 0.102)
Y (0.000, 0.000, 0.306)
Y (0.000, 0.000, 0.694)
Y (0.000, 0.000, 0.898)
Sc (0.000, 0.000, 0.500)
Ru (0.500, 0.500, 0.000)
Ru (0.500, 0.500, 0.204)
Ru (0.500, 0.500, 0.410)
Ru (0.500, 0.500, 0.590)
Ru (0.500, 0.500, 0.796)



(26)
Entry from the Alexandria database: a relaxed YSc2Ru crystal (PBE-GGA).

Results
- total DFT energy (no corrections) (eV per formula unit) = -29.762
- ΔE_f (eV/atom) = -0.340
- symmetry = Pnma, No. 62
- ΔE to the lowest computed polymorph (eV/f.u.) = 0.00

Cell lengths 7.217, 8.539, 5.975 Å; angles 90.00, 90.00, 90.00 degrees
Element x y z (fractional)
Y (0.036, 0.250, 0.122)
Y (0.464, 0.750, 0.622)
Y (0.536, 0.250, 0.378)
Y (0.964, 0.750, 0.878)
Sc (0.174, 0.064, 0.654)
Sc (0.174, 0.436, 0.654)
Sc (0.326, 0.564, 0.154)
Sc (0.326, 0.936, 0.154)
Sc (0.674, 0.064, 0.846)
Sc (0.674, 0.436, 0.846)
Sc (0.826, 0.564, 0.346)
Sc (0.826, 0.936, 0.346)
Ru (0.117, 0.750, 0.431)
Ru (0.383, 0.250, 0.931)
Ru (0.617, 0.750, 0.069)
Ru (0.883, 0.250, 0.569)



(27)
Entry from the Alexandria database: a relaxed YScRu2 crystal (PBE-GGA).

Results
- total DFT energy (no corrections) (eV per formula unit) = -32.851
- ΔE_f (eV/atom) = -0.376
- symmetry = Cmcm, No. 63

Cell lengths 5.750, 5.750, 4.662 Å; angles 90.00, 90.00, 109.40 degrees
Element x y z (fractional)
Y (0.128, 0.872, 0.750)
Y (0.872, 0.128, 0.250)
Sc (0.380, 0.620, 0.250)
Sc (0.620, 0.380, 0.750)
Ru (0.134, 0.383, 0.750)
Ru (0.383, 0.134, 0.250)
Ru (0.617, 0.866, 0.750)
Ru (0.866, 0.617, 0.250)